Record 1
Density functional theory data (GGA-PBE) for crystalline MgNbCuNi at its relaxed geometry.

Geometry as POSCAR:
```
MgNbCuNi
1.0
4.3622 0.0000 0.0000
2.1811 3.7777 0.0000
2.1811 1.2592 3.5617
Nb Cu Ni Mg
1 1 1 1
direct
0.0000 0.0000 0.0000
0.2500 0.2500 0.2500
0.7500 0.7500 0.7500
0.5000 0.5000 0.5000
```

Values from the calculation:
Calculated volume   58.7 Å³/cell
Calculated density   6774 kg/m³
E   -5.45 eV/atom
ΔH_f (0 K)   -61 meV per atom

***

Record 2
Density functional theory data (GGA-PBE) for crystalline Mg6NbCuO8 at its relaxed geometry.

Geometry as POSCAR:
```
Mg6NbCuO8
1.0
-1.7255 0.1428 -3.9116
-0.5511 -4.2412 0.0882
-8.1314 1.1321 3.6283
Mg O Nb Cu
6 8 1 1
direct
0.5000 0.0000 0.2322
0.0000 0.5000 0.7678
0.5000 0.0000 0.7678
0.5000 0.5000 0.5000
0.0000 0.5000 0.2322
0.5000 0.5000 0.0000
0.5000 0.5000 0.7499
0.0000 0.0000 0.2619
0.5000 0.0000 0.5000
0.0000 0.5000 0.0000
0.0000 0.5000 0.5000
0.0000 0.0000 0.7381
0.5000 0.5000 0.2501
0.5000 0.0000 0.0000
0.0000 0.0000 0.5000
0.0000 0.0000 0.0000
```

Values from the calculation:
ΔE_f (raw)   -2.220 eV per atom
Calculated volume   164.2 Å³/cell
Calculated density   4350 kg/m³
E   -6.18 eV/atom
Polymorph energy (0 for the lowest one)   15 meV/atom

***

Record 3
Density functional theory data (GGA-PBE) for crystalline Mg2NbCuO at its relaxed geometry.

Geometry as POSCAR:
```
Mg2NbCuO
1.0
-4.0755 -2.6061 2.5284
1.3022 -4.5970 -2.6393
2.8922 -1.1668 3.4591
Nb Mg Cu O
1 2 1 1
direct
0.0000 0.0000 0.0000
0.5000 0.0000 0.0000
0.0000 0.5000 0.0000
0.0000 0.0000 0.5000
0.5000 0.5000 0.5000
```

Values from the calculation:
ΔE_f (raw)   1.587 eV per atom
Calculated volume   138.8 Å³/cell
Calculated density   2645 kg/m³
E   -2.88 eV/atom

***

Record 4
Density functional theory data (GGA-PBE) for crystalline Mg2Nb2CuO8 at its relaxed geometry.

Geometry as POSCAR:
```
Mg2Nb2CuO8
1.0
-5.8117 0.2722 8.1839
-3.2036 -5.2109 7.9630
3.9239 1.7513 2.8575
O Nb Cu Mg
16 4 2 4
direct
0.1652 0.4537 0.8788
0.2912 0.0849 0.0479
0.0849 0.2912 0.5479
0.7088 0.9151 0.9521
0.8348 0.5463 0.1212
0.5772 0.3092 0.0602
0.9595 0.1844 0.9309
0.4228 0.6908 0.9398
0.0405 0.8156 0.0691
0.4537 0.1652 0.3788
0.5463 0.8348 0.6212
0.8156 0.0405 0.5691
0.9151 0.7088 0.4521
0.6908 0.4228 0.4398
0.1844 0.9595 0.4309
0.3092 0.5772 0.5602
0.2829 0.9481 0.7658
0.7171 0.0519 0.2342
0.9481 0.2829 0.2658
0.0519 0.7171 0.7342
0.6547 0.3453 0.7500
0.3453 0.6547 0.2500
0.4120 0.1300 0.7468
0.8700 0.5880 0.7532
0.5880 0.8700 0.2532
0.1300 0.4120 0.2468
```

Values from the calculation:
ΔE_f (raw)   -2.273 eV per atom
Calculated volume   300.0 Å³/cell
Calculated density   4715 kg/m³
E   -7.43 eV/atom

***

Record 5
Density functional theory data (GGA-PBE) for crystalline Mg6NbCuO8 at its relaxed geometry.

Geometry as POSCAR:
```
Mg6NbCuO8
1.0
-2.1126 0.7061 -3.6482
-2.3751 -3.4841 0.7010
-5.9293 4.9246 4.3867
Mg O Cu Nb
6 8 1 1
direct
0.5000 0.5000 0.5000
0.5000 0.0000 0.7427
0.0000 0.0000 0.5000
0.0000 0.5000 0.2573
0.5000 0.0000 0.2573
0.0000 0.5000 0.7427
0.0000 0.5000 0.0000
0.0000 0.5000 0.5000
0.5000 0.0000 0.0000
0.0000 0.0000 0.2674
0.5000 0.5000 0.2550
0.5000 0.5000 0.7450
0.5000 0.0000 0.5000
0.0000 0.0000 0.7326
0.0000 0.0000 0.0000
0.5000 0.5000 0.0000
```

Values from the calculation:
ΔE_f (raw)   -2.236 eV per atom
Calculated volume   162.0 Å³/cell
Calculated density   4409 kg/m³
E   -6.20 eV/atom
Polymorph energy (0 for the lowest one)   0 meV/atom

***

Record 6
Density functional theory data (GGA-PBE) for crystalline MgNb2CuP at its relaxed geometry.

Geometry as POSCAR:
```
MgNb2CuP
1.0
4.8488 0.0000 0.0000
0.0000 4.0884 0.0000
0.0000 0.0000 4.8488
Nb P Cu Mg
2 1 1 1
direct
0.5000 0.0000 0.0000
0.0000 0.0000 0.5000
0.0000 0.5000 0.0000
0.0000 0.0000 0.0000
0.5000 0.5000 0.5000
```

Values from the calculation:
Calculated volume   96.1 Å³/cell
Calculated density   5263 kg/m³
E   -5.34 eV/atom
ΔH_f (0 K)   907 meV per atom